1.
The following is a DFT calculation (GGA-PBE) of K2GeSb after structural relaxation.

Computed properties:
Energy above the lowest structure with this stoichiometry in meV per atom: 257.0
ρ in Mg/m³: 3.41
Electronic total energy in eV for the cell shown: -10.4
Formation energy from raw total energies in meV/atom: 122.6

Unit cell a=5.727 b=5.727 c=5.727 alpha=60.00 beta=60.00 gamma=60.00
Atoms (fractional coordinates):
K 0.250 0.250 0.250
K 0.750 0.750 0.750
Ge 0.000 0.000 0.000
Sb 0.500 0.500 0.500

---

2.
The following is a DFT calculation (GGA-PBE) of K2Ge2Sb after structural relaxation.

Computed properties:
Energy above the lowest structure with this stoichiometry in meV per atom: 0.0
ρ in Mg/m³: 3.68
Electronic total energy in eV for the cell shown: -16.1
Formation energy from raw total energies in meV/atom: -116.6

Unit cell a=6.659 b=6.659 c=6.659 alpha=137.23 beta=127.73 gamma=69.75
Atoms (fractional coordinates):
K 0.216 0.216 0.000
K 0.784 0.784 0.000
Ge 0.209 0.500 0.709
Ge 0.791 0.500 0.291
Sb 0.500 0.000 0.500

---

3.
The following is a DFT calculation (GGA-PBE) of KGe3Sb3 after structural relaxation.

Computed properties:
ρ in Mg/m³: 4.17
Electronic total energy in eV for the cell shown: -53.6
Formation energy from raw total energies in meV/atom: 76.5

Unit cell a=7.912 b=7.912 c=7.912 alpha=90.00 beta=90.00 gamma=90.00
Atoms (fractional coordinates):
K 0.000 0.000 0.000
K 0.500 0.500 0.500
Ge 0.000 0.250 0.500
Ge 0.000 0.750 0.500
Ge 0.250 0.500 0.000
Ge 0.500 0.000 0.250
Ge 0.500 0.000 0.750
Ge 0.750 0.500 0.000
Sb 0.000 0.500 0.250
Sb 0.000 0.500 0.750
Sb 0.250 0.000 0.500
Sb 0.500 0.250 0.000
Sb 0.500 0.750 0.000
Sb 0.750 0.000 0.500

---

4.
The following is a DFT calculation (GGA-PBE) of K2Ge2Sb after structural relaxation.

Computed properties:
Energy above the lowest structure with this stoichiometry in meV per atom: 2.8
ρ in Mg/m³: 3.72
Electronic total energy in eV for the cell shown: -32.2
Formation energy from raw total energies in meV/atom: -113.9

Unit cell a=7.505 b=7.505 c=5.478 alpha=90.00 beta=90.00 gamma=90.00
Atoms (fractional coordinates):
K 0.192 0.308 0.000
K 0.308 0.808 0.000
K 0.692 0.192 0.000
K 0.808 0.692 0.000
Ge 0.114 0.614 0.500
Ge 0.386 0.114 0.500
Ge 0.614 0.886 0.500
Ge 0.886 0.386 0.500
Sb 0.000 0.000 0.500
Sb 0.500 0.500 0.500

---

5.
The following is a DFT calculation (GGA-PBE) of K3GeSb after structural relaxation.

Computed properties:
Energy above the lowest structure with this stoichiometry in meV per atom: 0.0
ρ in Mg/m³: 2.34
Electronic total energy in eV for the cell shown: -25.3
Formation energy from raw total energies in meV/atom: -124.5

Unit cell a=9.028 b=9.028 c=9.028 alpha=76.52 beta=126.25 gamma=129.92
Atoms (fractional coordinates):
K 0.181 0.722 0.959
K 0.235 0.052 0.287
K 0.235 0.448 0.684
K 0.764 0.222 0.041
K 0.765 0.552 0.316
K 0.765 0.948 0.713
Ge 0.578 0.411 0.667
Ge 0.745 0.911 0.333
Sb 0.189 0.042 0.647
Sb 0.395 0.542 0.353

---

6.
The following is a DFT calculation (GGA-PBE) of K3GeSb after structural relaxation.

Computed properties:
Energy above the lowest structure with this stoichiometry in meV per atom: 418.2
ρ in Mg/m³: 1.72
Electronic total energy in eV for the cell shown: -10.6
Formation energy from raw total energies in meV/atom: 293.6

Unit cell a=6.700 b=6.700 c=6.700 alpha=90.00 beta=90.00 gamma=90.00
Atoms (fractional coordinates):
K 0.000 0.000 0.500
K 0.000 0.500 0.000
K 0.500 0.000 0.000
Ge 0.500 0.500 0.500
Sb 0.000 0.000 0.000

---

7.
The following is a DFT calculation (GGA-PBE) of K2GeSb after structural relaxation.

Computed properties:
Energy above the lowest structure with this stoichiometry in meV per atom: 124.8
ρ in Mg/m³: 1.99
Electronic total energy in eV for the cell shown: -21.9
Formation energy from raw total energies in meV/atom: -9.6

Unit cell a=9.582 b=9.582 c=9.582 alpha=94.50 beta=94.50 gamma=147.48
Atoms (fractional coordinates):
K 0.375 0.130 0.255
K 0.870 0.125 0.245
K 0.875 0.120 0.745
K 0.880 0.625 0.755
Ge 0.000 0.000 0.000
Ge 0.750 0.250 0.500
Sb 0.250 0.750 0.500
Sb 0.500 0.500 0.000

---

8.
The following is a DFT calculation (GGA-PBE) of KGeSb2 after structural relaxation.

Computed properties:
ρ in Mg/m³: 4.83
Electronic total energy in eV for the cell shown: -13.9
Formation energy from raw total energies in meV/atom: 9.4

Unit cell a=9.407 b=9.407 c=9.407 alpha=24.11 beta=24.11 gamma=24.11
Atoms (fractional coordinates):
K 0.000 0.000 0.000
Ge 0.500 0.500 0.500
Sb 0.230 0.230 0.230
Sb 0.770 0.770 0.770

---

- The lowest electronic total energy belongs to which entry?
  KGe3Sb3